Entry 1:
Er12MgCu6: relaxed, GGA-PBE.

Computed properties:
Raw total energy   -4.41 eV/atom
Density of states at the Fermi level   13.8 states/eV/cell
Space group   Im-3, No. 204
V   24.7 A^3/atom

Cell lengths 8.4754, 8.4754, 8.4754 Å; angles 109.47, 109.47, 109.47 degrees
With the nearest neighbours (Å) after each atom.
Element x y z (fractional)
Er  0.1072  0.2963  0.8109  3 Cu 2.70-2.98
Er  0.1891  0.4853  0.2963  3 Cu 2.70-2.98
Er  0.1891  0.8928  0.7037  3 Cu 2.70-2.98
Er  0.2963  0.1891  0.4853  3 Cu 2.70-2.98
Er  0.2963  0.8109  0.1072  3 Cu 2.70-2.98
Er  0.4853  0.2963  0.1891  3 Cu 2.70-2.98
Er  0.5147  0.7037  0.8109  3 Cu 2.70-2.98
Er  0.7037  0.1891  0.8928  3 Cu 2.70-2.98
Er  0.7037  0.8109  0.5147  3 Cu 2.70-2.98
Er  0.8109  0.1072  0.2963  3 Cu 2.70-2.98
Er  0.8109  0.5147  0.7037  3 Cu 2.70-2.98
Er  0.8928  0.7037  0.1891  3 Cu 2.70-2.98
Mg  0.0000  0.0000  0.0000  12 Er 3.44
Cu  0.1243  0.5000  0.6243  1 Cu 2.43, 2 Er 2.70
Cu  0.3757  0.8757  0.5000  1 Cu 2.43, 2 Er 2.70
Cu  0.5000  0.3757  0.8757  1 Cu 2.43, 2 Er 2.70
Cu  0.5000  0.6243  0.1243  1 Cu 2.43, 2 Er 2.70
Cu  0.6243  0.1243  0.5000  1 Cu 2.43, 2 Er 2.70
Cu  0.8757  0.5000  0.3757  1 Cu 2.43, 2 Er 2.70

---

Entry 2:
Sm3Er2Cd6: relaxed, GGA-PBE.

Computed properties:
Raw total energy   -2.61 eV/atom
Density of states at the Fermi level   11.1 states/eV/cell
Space group   I4/mmm, No. 139
V   29.2 A^3/atom

Cell lengths 18.3901, 18.3901, 18.3901 Å; angles 166.86, 166.86, 18.62 degrees
With the nearest neighbours (Å) after each atom.
Element x y z (fractional)
Sm  0.0000  0.0000  0.0000  8 Cd 3.26
Sm  0.1846  0.1846  0.0000  5 Cd 3.27-3.32, 4 Er 3.49
Sm  0.8154  0.8154  0.0000  5 Cd 3.27-3.32, 4 Er 3.49
Er  0.3658  0.3658  0.0000  5 Cd 3.18-3.30, 4 Sm 3.49
Er  0.6342  0.6342  0.0000  5 Cd 3.18-3.30, 4 Sm 3.49
Cd  0.0686  0.5686  0.5000  4 Cd 2.98, 2 Er 3.18, 2 Sm 3.26
Cd  0.2748  0.2748  0.0000  5 Sm 3.27-3.32, 1 Er 3.30, 4 Cd 3.48
Cd  0.4314  0.9314  0.5000  4 Cd 2.98, 2 Er 3.18, 2 Sm 3.26
Cd  0.5686  0.0686  0.5000  4 Cd 2.98, 2 Er 3.18, 2 Sm 3.26
Cd  0.7252  0.7252  0.0000  5 Sm 3.27-3.32, 1 Er 3.30, 4 Cd 3.48
Cd  0.9314  0.4314  0.5000  4 Cd 2.98, 2 Er 3.18, 2 Sm 3.26

---

Entry 3:
Tm2CdTc: relaxed, GGA-PBE.

Computed properties:
Raw total energy   -5.29 eV/atom
Density of states at the Fermi level   4.7 states/eV/cell
Space group   P4/mmm, No. 123
V   22.5 A^3/atom

Cell lengths 3.4653, 3.4653, 7.5034 Å; angles 90.00, 90.00, 90.00 degrees
With the nearest neighbours (Å) after each atom.
Element x y z (fractional)
Tm  0.0000  0.0000  0.2132  4 Tc 2.93, 1 Tm 3.20, 4 Cd 3.26
Tm  0.0000  0.0000  0.7868  4 Tc 2.93, 1 Tm 3.20, 4 Cd 3.26
Cd  0.5000  0.5000  0.5000  8 Tm 3.26, 4 Cd 3.47
Tc  0.5000  0.5000  0.0000  8 Tm 2.93

---

Entry 4:
RbSiAsO6: relaxed, GGA-PBE.

Computed properties:
Density of states at the Fermi level   5.0 states/eV/cell
Space group   P312, No. 149
V   14.7 A^3/atom
E_form (uncorrected)   -1.43 eV/atom

Cell lengths 4.8321, 4.8321, 6.5617 Å; angles 90.00, 90.00, 120.00 degrees
With the nearest neighbours (Å) after each atom.
Element x y z (fractional)
Rb  0.0000  0.0000  0.0000  6 O 2.89
Si  0.6667  0.3333  0.5000  6 O 1.80
As  0.3333  0.6667  0.5000  6 O 1.87
O  0.3761  0.0110  0.6537  1 Si 1.80, 1 As 1.87
O  0.3761  0.3650  0.3463  1 Si 1.80, 1 As 1.87
O  0.6350  0.0110  0.3463  1 Si 1.80, 1 As 1.87
O  0.6350  0.6239  0.6537  1 Si 1.80, 1 As 1.87
O  0.9890  0.3650  0.6537  1 Si 1.80, 1 As 1.87
O  0.9890  0.6239  0.3463  1 Si 1.80, 1 As 1.87